Density functional theory data (PBE-GGA) for crystalline ZnSiSn3 at its relaxed geometry.

Values from the calculation:
Polymorph energy (0 for the lowest one) ... 0.0923 eV/atom
Raw formation energy ... 0.68 eV/atom
DOS(E_F) ... 4.14 states/eV/cell

Lattice parameters (Å, degrees): 5.1710 5.1710 5.1710 90.00 90.00 90.00
Last column: nearest neighbours and their distance in Å.
Space group Pm-3m (No. 221)
Unique sites:
Zn 0.0000 0.0000 0.0000 (multiplicity 1)  6 Sn 2.59
Si 0.5000 0.5000 0.5000 (multiplicity 1)  12 Sn 3.66
Sn 0.0000 0.0000 0.5000 (multiplicity 3)  2 Zn 2.59

=====

Density functional theory data (PBE-GGA) for crystalline ZnSi3Sn at its relaxed geometry.

Values from the calculation:
Polymorph energy (0 for the lowest one) ... 0.0000 eV/atom
Raw formation energy ... 0.83 eV/atom
DOS(E_F) ... 3.04 states/eV/cell

Lattice parameters (Å, degrees): 4.7302 4.7302 4.7302 90.00 90.00 90.00
Last column: nearest neighbours and their distance in Å.
Space group Pm-3m (No. 221)
Unique sites:
Zn 0.0000 0.0000 0.0000 (multiplicity 1)  6 Si 2.37
Si 0.0000 0.0000 0.5000 (multiplicity 3)  2 Zn 2.37
Sn 0.5000 0.5000 0.5000 (multiplicity 1)  12 Si 3.34

=====

Density functional theory data (PBE-GGA) for crystalline Zn3SiSn at its relaxed geometry.

Values from the calculation:
Polymorph energy (0 for the lowest one) ... 0.0000 eV/atom
Raw formation energy ... 0.41 eV/atom
DOS(E_F) ... 3.62 states/eV/cell

Lattice parameters (Å, degrees): 4.7805 4.7805 4.7805 90.00 90.00 90.00
Last column: nearest neighbours and their distance in Å.
Space group Pm-3m (No. 221)
Unique sites:
Zn 0.0000 0.0000 0.5000 (multiplicity 3)  2 Si 2.39
Si 0.0000 0.0000 0.0000 (multiplicity 1)  6 Zn 2.39
Sn 0.5000 0.5000 0.5000 (multiplicity 1)  12 Zn 3.38

=====

Density functional theory data (PBE-GGA) for crystalline Zn2Si2Sn at its relaxed geometry.

Values from the calculation:
Polymorph energy (0 for the lowest one) ... 0.1009 eV/atom
Raw formation energy ... 0.31 eV/atom
DOS(E_F) ... 4.03 states/eV/cell

Lattice parameters (Å, degrees): 7.9131 7.9131 2.8936 90.00 90.00 90.00
Last column: nearest neighbours and their distance in Å.
Space group P4/mbm (No. 127)
Unique sites:
Zn 0.1303 0.3697 0.0000 (multiplicity 4)  6 Si 2.71-2.76, 3 Zn 2.89-2.92
Si 0.1644 0.6644 0.5000 (multiplicity 4)  6 Zn 2.71-2.76, 2 Si 2.89, 2 Sn 2.96
Sn 0.0000 0.0000 0.5000 (multiplicity 2)  2 Sn 2.89, 4 Si 2.96

=====

Density functional theory data (PBE-GGA) for crystalline ZnSiSn3 at its relaxed geometry.

Values from the calculation:
Polymorph energy (0 for the lowest one) ... 0.0000 eV/atom
Raw formation energy ... 0.59 eV/atom
DOS(E_F) ... 2.32 states/eV/cell

Lattice parameters (Å, degrees): 5.2355 5.2355 5.2355 90.00 90.00 90.00
Last column: nearest neighbours and their distance in Å.
Space group Pm-3m (No. 221)
Unique sites:
Zn 0.0000 0.0000 0.0000 (multiplicity 1)  12 Sn 3.70
Si 0.5000 0.5000 0.5000 (multiplicity 1)  6 Sn 2.62
Sn 0.0000 0.5000 0.5000 (multiplicity 3)  2 Si 2.62

=====

Density functional theory data (PBE-GGA) for crystalline ZnSi2Sn at its relaxed geometry.

Values from the calculation:
Polymorph energy (0 for the lowest one) ... 0.0000 eV/atom
Raw formation energy ... 0.42 eV/atom
DOS(E_F) ... 8.55 states/eV/cell

Lattice parameters (Å, degrees): 5.8630 5.8630 11.4955 90.00 90.00 90.00
Last column: nearest neighbours and their distance in Å.
Space group I-42d (No. 122)
Unique sites:
Zn 0.0000 0.0000 0.0000 (multiplicity 4)  4 Si 2.43
Si 0.2203 0.2500 0.1250 (multiplicity 8)  2 Zn 2.43, 2 Sn 2.63
Sn 0.0000 0.0000 0.5000 (multiplicity 4)  4 Si 2.63

=====

Density functional theory data (PBE-GGA) for crystalline Zn2Si2Sn at its relaxed geometry.

Values from the calculation:
Polymorph energy (0 for the lowest one) ... 0.0626 eV/atom
Raw formation energy ... 0.28 eV/atom
DOS(E_F) ... 3.41 states/eV/cell

Lattice parameters (Å, degrees): 3.9091 3.9091 11.9951 90.00 90.00 90.00
Last column: nearest neighbours and their distance in Å.
Space group I4/mmm (No. 139)
Unique sites:
Zn 0.0000 0.0000 0.1063 (multiplicity 4)  1 Zn 2.55, 4 Si 2.61
Si 0.0000 0.5000 0.2500 (multiplicity 4)  4 Zn 2.61, 4 Si 2.76
Sn 0.0000 0.0000 0.5000 (multiplicity 2)  8 Zn 3.04

=====

Density functional theory data (PBE-GGA) for crystalline ZnSiSn2 at its relaxed geometry.

Values from the calculation:
Polymorph energy (0 for the lowest one) ... 0.0216 eV/atom
Raw formation energy ... 0.29 eV/atom
DOS(E_F) ... 6.86 states/eV/cell

Lattice parameters (Å, degrees): 7.0396 7.0396 7.0396 90.00 90.00 90.00
Last column: nearest neighbours and their distance in Å.
Space group Fm-3m (No. 225)
Unique sites:
Zn 0.0000 0.0000 0.0000 (multiplicity 4)  8 Sn 3.05
Si 0.0000 0.0000 0.5000 (multiplicity 4)  8 Sn 3.05
Sn 0.2500 0.2500 0.2500 (multiplicity 8)  4 Si 3.05, 4 Zn 3.05

=====

Density functional theory data (PBE-GGA) for crystalline ZnSi2Sn2 at its relaxed geometry.

Values from the calculation:
Polymorph energy (0 for the lowest one) ... 0.0000 eV/atom
Raw formation energy ... 0.24 eV/atom
DOS(E_F) ... 3.95 states/eV/cell

Lattice parameters (Å, degrees): 6.3105 6.3105 5.4831 90.00 90.00 90.00
Last column: nearest neighbours and their distance in Å.
Space group P4/mbm (No. 127)
Unique sites:
Zn 0.0000 0.0000 0.0000 (multiplicity 2)  4 Si 2.46
Si 0.1330 0.3670 0.0000 (multiplicity 4)  1 Si 2.37, 2 Zn 2.46
Sn 0.1988 0.3012 0.5000 (multiplicity 4)  2 Si 2.80

=====

Density functional theory data (PBE-GGA) for crystalline Zn3SiSn at its relaxed geometry.

Values from the calculation:
Polymorph energy (0 for the lowest one) ... 0.5138 eV/atom
Raw formation energy ... 0.92 eV/atom
DOS(E_F) ... 4.48 states/eV/cell

Lattice parameters (Å, degrees): 5.1143 5.1143 5.1143 90.00 90.00 90.00
Last column: nearest neighbours and their distance in Å.
Space group Pm-3m (No. 221)
Unique sites:
Zn 0.0000 0.0000 0.5000 (multiplicity 3)  2 Sn 2.56
Si 0.5000 0.5000 0.5000 (multiplicity 1)  12 Zn 3.62
Sn 0.0000 0.0000 0.0000 (multiplicity 1)  6 Zn 2.56

=====

Density functional theory data (PBE-GGA) for crystalline Zn2Si2Sn at its relaxed geometry.

Values from the calculation:
Polymorph energy (0 for the lowest one) ... 0.0000 eV/atom
Raw formation energy ... 0.21 eV/atom
DOS(E_F) ... 3.13 states/eV/cell

Lattice parameters (Å, degrees): 4.2676 4.2676 10.3425 90.00 90.00 90.00
Last column: nearest neighbours and their distance in Å.
Space group I4/mmm (No. 139)
Unique sites:
Zn 0.0000 0.5000 0.2500 (multiplicity 4)  4 Si 2.56
Si 0.0000 0.0000 0.1131 (multiplicity 4)  1 Si 2.34, 4 Zn 2.56
Sn 0.0000 0.0000 0.5000 (multiplicity 2)  8 Si 3.24, 8 Zn 3.35

=====

Density functional theory data (PBE-GGA) for crystalline ZnSiSn2 at its relaxed geometry.

Values from the calculation:
Polymorph energy (0 for the lowest one) ... 0.0000 eV/atom
Raw formation energy ... 0.27 eV/atom
DOS(E_F) ... 4.84 states/eV/cell

Lattice parameters (Å, degrees): 6.3149 6.3149 11.4696 90.00 90.00 90.00
Last column: nearest neighbours and their distance in Å.
Space group I-42d (No. 122)
Unique sites:
Zn 0.0000 0.0000 0.0000 (multiplicity 4)  4 Sn 2.68
Si 0.0000 0.0000 0.5000 (multiplicity 4)  4 Sn 2.62
Sn 0.2422 0.2500 0.6250 (multiplicity 8)  2 Si 2.62, 2 Zn 2.68